No. 1
DFT (GGA-PBE) results for a relaxed Ac2SnH crystal.

Cell lengths 5.012, 5.012, 9.307 Å; angles 90.01, 90.01, 90.00 degrees
Fractional coordinates of all 8 atoms:
1 Ac 0.750 0.750 0.859
2 Ac 0.750 0.250 0.500
3 Ac 0.250 0.250 0.141
4 Ac 0.250 0.750 0.500
5 Sn 0.250 0.250 0.773
6 Sn 0.750 0.750 0.227
7 H 0.250 0.250 0.416
8 H 0.750 0.750 0.584

Computed properties:
- SG = No. 129
- offset from the most stable computed form (meV/atom) = 0

No. 2
DFT (GGA-PBE) results for a relaxed LaSb2 crystal.

Cell lengths 6.495, 6.495, 6.495 Å; angles 119.90, 119.90, 90.17 degrees
Fractional coordinates of all 6 atoms:
1 La 0.750 0.750 0.000
2 La 0.250 0.250 0.000
3 Sb 0.334 0.166 0.500
4 Sb 0.666 0.834 0.500
5 Sb 0.166 0.666 0.832
6 Sb 0.834 0.334 0.168

Computed properties:
- SG = No. 140
- formation energy from raw total energies (eV per atom) = -0.799